# 1
Be3P | SCAN | PBEsol geometry

Geometry as POSCAR:
```
Be3P
1.0
3.0943 0.0000 0.0000
0.0000 3.0943 0.0000
0.0000 0.0000 4.1984
P Be
1 3
direct
0.5000 0.5000 0.5000
0.0000 0.0000 0.7462
0.5000 0.5000 0.0000
0.0000 0.0000 0.2538
```

Values from the calculation:
energy of formation: 0.2439 eV/atom
calculated total energy: -5.621 eV/atom
symmetry: P4/mmm, No. 123

---

# 2
TlNi3Se | SCAN | PBEsol geometry

Geometry as POSCAR:
```
TlNi3Se
1.0
4.6533 0.0000 0.0000
0.0000 4.6533 0.0000
0.0000 0.0000 4.6533
Ni Tl Se
3 1 1
direct
0.0000 0.5000 0.0000
0.0000 0.0000 0.5000
0.5000 0.0000 0.0000
0.0000 0.0000 0.0000
0.5000 0.5000 0.5000
```

Values from the calculation:
calculated total energy: -26.851 eV/atom
symmetry: Pm-3m, No. 221
ΔE_f (raw): 1340 meV per atom

---

Q: Which formula does entry 1 have?
A: Be3P